<1>
A plane-wave DFT calculation with PBE was carried out for crystalline RbCdSi at its relaxed geometry.

Structure (extended XYZ):
```
6
Lattice="-3.8023 -1.0023 -0.5701 -0.6910 -0.6564 5.7626 -2.2544 8.1765 0.6611" Properties=species:S:1:pos:R:3 pbc="T T T"
Cd -3.7124 2.3698 -0.1752
Cd -2.3443 4.8044 0.2662
Rb -1.8091 1.2819 2.8892
Rb -4.9386 5.2359 2.9643
Si -3.0174 -0.1508 -0.3790
Si -3.0393 7.3250 0.4700
```

Output
The density of states at the Fermi level comes out at 0.552 states/eV/atom. For the total moment, the calculation gives 0.0 μB per formula unit.

<2>
A plane-wave DFT calculation with PBE was carried out for crystalline RbCdSi at its relaxed geometry.

Structure (extended XYZ):
```
3
Lattice="-0.1816 -4.8950 2.8934 3.9433 1.0428 2.0118 -3.9300 1.2710 1.9036" Properties=species:S:1:pos:R:3 pbc="T T T"
Rb -1.4267 -2.0682 3.8685
Cd -0.0303 -0.8156 0.4821
Si 1.2886 0.3027 2.4582
```

Output
The density of states at the Fermi level comes out at 0.639 states/eV/atom. For the total moment, the calculation gives 0.5 μB per formula unit.

<3>
A plane-wave DFT calculation with PBE was carried out for crystalline RbCdSi at its relaxed geometry.

Structure (extended XYZ):
```
6
Lattice="3.8542 0.0076 0.0055 0.0074 6.7904 1.0790 1.9330 4.8091 8.0813" Properties=species:S:1:pos:R:3 pbc="T T T"
Si 2.4604 7.8972 4.1025
Si 4.3912 6.5766 3.3882
Cd 2.4515 0.4113 0.2124
Cd 4.3941 7.2723 6.1995
Rb 0.5238 3.5472 1.3158
Rb 2.4661 4.1288 5.0903
```

Output
The density of states at the Fermi level comes out at 0.478 states/eV/atom. For the total moment, the calculation gives 0.0 μB per formula unit.

Q: Which of them is the most stable? A: <1>.

<1>
A plane-wave DFT calculation with PBE was carried out for crystalline RbCdSi at its relaxed geometry.

Structure (extended XYZ):
```
6
Lattice="5.5831 0.0000 -0.0836 0.0000 3.8901 0.0000 -2.2190 0.0000 8.5301" Properties=species:S:1:pos:R:3 pbc="T T T"
Si 5.4799 1.9451 0.0906
Si 4.6537 0.0000 1.2923
Rb 2.1438 1.9451 2.8788
Rb -0.6402 1.9451 5.2732
Cd -0.1977 0.0000 8.3834
Cd 2.1988 0.0000 6.6899
```

Output
The density of states at the Fermi level comes out at 0.361 states/eV/atom. For the total moment, the calculation gives 0.0 μB per formula unit.

<2>
A plane-wave DFT calculation with PBE was carried out for crystalline RbCdSi at its relaxed geometry.

Structure (extended XYZ):
```
12
Lattice="-6.7524 3.4600 4.3307 -2.4680 -2.4086 -1.9238 6.4403 -10.0728 4.3493" Properties=species:S:1:pos:R:3 pbc="T T T"
Rb -2.0828 -1.3351 4.3436
Rb -2.8459 -5.0893 5.9701
Rb -0.0967 -7.5758 5.5564
Rb -4.8320 1.1515 4.7574
Cd -3.8733 -0.3182 1.3147
Cd -0.8465 -3.8702 1.8789
Cd 0.5809 -4.1503 4.4512
Cd 3.6076 -7.7024 5.0154
Si -1.7835 -1.7717 0.4535
Si 5.6890 -9.6463 4.7790
Si 1.2348 -5.8142 1.6425
Si 2.6706 -5.6038 3.5900
```

Output
The density of states at the Fermi level comes out at 0.285 states/eV/atom. For the total moment, the calculation gives 0.0 μB per formula unit.

Q: Which of them is the most stable? A: <2>.